Record 1
The following is a GGA-PBE calculation of a relaxed TbNbCo2 crystal, from the Alexandria database.

As for the space group: R-3m (166).

Lattice parameters (Å, degrees): 4.1642 4.1642 5.3809 67.24 67.24 60.00
Last column: nearest neighbours and their distance in Å.
Atoms (fractional coordinates):
Co 0.7059 0.7059 0.8822  3 Nb 2.47, 3 Co 2.66
Co 0.2941 0.2941 0.1178  3 Nb 2.47, 3 Co 2.66
Tb 0.5000 0.5000 0.5000  8 Co 2.97-3.03
Nb 0.0000 0.0000 0.0000  6 Co 2.47

---

Record 2
The following is a GGA-PBE calculation of a relaxed TbNbCo2 crystal, from the Alexandria database.

As for the space group: P4/mmm (123).

Lattice parameters (Å, degrees): 3.1236 3.1236 6.8110 90.00 90.00 90.00
Last column: nearest neighbours and their distance in Å.
Atoms (fractional coordinates):
Nb 0.5000 0.5000 0.0000  8 Co 2.59
Co 0.0000 0.0000 0.1986  4 Nb 2.59, 1 Co 2.70
Co 0.0000 0.0000 0.8014  4 Nb 2.59, 1 Co 2.70
Tb 0.5000 0.5000 0.5000  8 Co 3.02, 4 Tb 3.12

---

| no. | ΔE_f (kJ/mol of atoms) | calculated total energy (Ry per atom) |
| --- | --- | --- |
| 1 | -5.6 | -0.53554 |
| 2 | -8.8 | -0.53796 |